Entry from the Alexandria database: a relaxed Sr2YTlW2O7 crystal (PBE+U).

a b c (Å): 12.7649 5.6250 6.0067
angles (deg): 90.00 90.00 90.00
Space group Amm2 (No. 38)
Unique sites:
Sr (0.1805, 0.0000, 0.0000) (multiplicity 4)
Y (0.5000, 0.0000, 0.0109) (multiplicity 2)
Tl (0.0000, 0.0000, 0.5212) (multiplicity 2)
W (0.3689, 0.0000, 0.5387) (multiplicity 4)
O (0.0000, 0.0000, 0.9322) (multiplicity 2)
O (0.2106, 0.0000, 0.5921) (multiplicity 4)
O (0.3825, 0.2492, 0.2948) (multiplicity 8)

Output
As for the energy: -6.741 eV per atom.